(1)
## MgSbI2Cl (GGA-PBEsol)

Data for a relaxed MgSbI2Cl crystal.

Output
**Raw formation energy**: 405 meV/atom
**E**: -1.958 eV/atom
**V**: 166.7 Å³/cell

a = 5.588 Å, b = 5.588 Å, c = 5.337 Å
α = 90.00°, β = 90.00°, γ = 90.00°
Space group P4/mmm (No. 123)
Asymmetric unit:
Mg: 0.000 0.000 0.000
Sb: 0.500 0.500 0.000
I: 0.000 0.500 0.500
Cl: 0.500 0.500 0.500

=====

(2)
## Ba2GaH (GGA-PBEsol)

Data for a relaxed Ba2GaH crystal.

Output
**E**: -2.929 eV/atom
**V**: 492.4 Å³/cell

a = 7.740 Å, b = 7.740 Å, c = 8.219 Å
α = 90.00°, β = 90.00°, γ = 90.00°
Space group I-42d (No. 122)
Asymmetric unit:
Ba: 0.169 0.750 0.125
Ga: 0.000 0.000 0.500
H: 0.000 0.000 0.000

=====

(3)
## Sr2ZnSe (GGA-PBEsol)

Data for a relaxed Sr2ZnSe crystal.

Output
**Raw formation energy**: -721 meV/atom
**E**: -2.999 eV/atom
**V**: 221.2 Å³/cell

a = 5.067 Å, b = 5.067 Å, c = 8.614 Å
α = 90.00°, β = 90.00°, γ = 90.00°
Space group I4/mmm (No. 139)
Asymmetric unit:
Sr: 0.000 0.500 0.250
Zn: 0.000 0.000 0.000
Se: 0.000 0.000 0.500

=====

(4)
## MnZnHg2 (GGA-PBEsol)

Data for a relaxed MnZnHg2 crystal.

Output
**E**: -2.891 eV/atom
**V**: 138.3 Å³/cell

a = 4.547 Å, b = 4.547 Å, c = 6.690 Å
α = 90.00°, β = 90.00°, γ = 90.00°
Space group I4/mmm (No. 139)
Asymmetric unit:
Mn: 0.000 0.000 0.000
Zn: 0.000 0.000 0.500
Hg: 0.000 0.500 0.250

=====

(5)
## ReHgPb3 (GGA-PBEsol)

Data for a relaxed ReHgPb3 crystal.

Output
**E**: -4.670 eV/atom
**V**: 147.4 Å³/cell

a = 5.283 Å, b = 5.283 Å, c = 5.283 Å
α = 90.00°, β = 90.00°, γ = 90.00°
Space group Pm-3m (No. 221)
Asymmetric unit:
Re: 0.000 0.000 0.000
Hg: 0.500 0.500 0.500
Pb: 0.000 0.000 0.500

=====

(6)
## Te3SeO8 (GGA-PBEsol)

Data for a relaxed Te3SeO8 crystal.

Output
**Raw formation energy**: -970 meV/atom
**E**: -5.672 eV/atom
**V**: 349.0 Å³/cell

a = 4.928 Å, b = 6.785 Å, c = 11.546 Å
α = 77.37°, β = 78.00°, γ = 69.43°
Space group P-1 (No. 2)
Asymmetric unit:
Te: 0.007 0.238 0.071
Te: 0.354 0.629 0.197
Te: 0.402 0.038 0.691
Se: 0.153 0.671 0.590
O: 0.003 0.790 0.307
O: 0.092 0.280 0.281
O: 0.139 0.814 0.059
O: 0.243 0.466 0.937
O: 0.320 0.864 0.565
O: 0.338 0.814 0.818
O: 0.433 0.442 0.641
O: 0.497 0.134 0.830

=====

(7)
## ReMo3 (GGA-PBEsol)

Data for a relaxed ReMo3 crystal.

Output
**E**: -12.129 eV/atom
**V**: 241.5 Å³/cell

a = 6.228 Å, b = 6.228 Å, c = 6.228 Å
α = 90.00°, β = 90.00°, γ = 90.00°
Space group Fm-3m (No. 225)
Asymmetric unit:
Re: 0.000 0.000 0.000
Mo: 0.000 0.000 0.500
Mo: 0.250 0.250 0.250

=====

(8)
## Sc3TcHg (GGA-PBEsol)

Data for a relaxed Sc3TcHg crystal.

Output
**E**: -6.220 eV/atom
**V**: 119.8 Å³/cell

a = 4.930 Å, b = 4.930 Å, c = 4.930 Å
α = 90.00°, β = 90.00°, γ = 90.00°
Space group Pm-3m (No. 221)
Asymmetric unit:
Sc: 0.000 0.000 0.500
Tc: 0.000 0.000 0.000
Hg: 0.500 0.500 0.500

=====

(9)
## Sn3Pd (GGA-PBEsol)

Data for a relaxed Sn3Pd crystal.

Output
**E**: -5.013 eV/atom
**V**: 711.4 Å³/cell

a = 17.075 Å, b = 6.455 Å, c = 6.455 Å
α = 90.00°, β = 90.00°, γ = 90.00°
Space group Cmce (No. 64)
Asymmetric unit:
Sn: 0.000 0.161 0.161
Sn: 0.168 0.169 0.832
Pd: 0.085 0.000 0.500

=====

(10)
## HfCu3O (GGA-PBEsol)

Data for a relaxed HfCu3O crystal.

Output
**Raw formation energy**: 1991 meV/atom
**E**: -3.760 eV/atom
**V**: 111.2 Å³/cell

a = 4.808 Å, b = 4.808 Å, c = 4.808 Å
α = 90.00°, β = 90.00°, γ = 90.00°
Space group Pm-3m (No. 221)
Asymmetric unit:
Hf: 0.000 0.000 0.000
Cu: 0.000 0.000 0.500
O: 0.500 0.500 0.500

=====

(11)
## RbBe2Tl (GGA-PBEsol)

Data for a relaxed RbBe2Tl crystal.

Output
**E**: -2.196 eV/atom
**V**: 442.1 Å³/cell

a = 5.351 Å, b = 5.351 Å, c = 15.441 Å
α = 90.00°, β = 90.00°, γ = 90.00°
Space group I4_1/amd (No. 141, origin choice 2)
Asymmetric unit:
Rb: 0.000 0.250 0.375
Be: 0.000 0.000 0.000
Tl: 0.000 0.250 0.875

=====

(12)
## TlPdF3 (GGA-PBEsol)

Data for a relaxed TlPdF3 crystal.

Output
**Raw formation energy**: -1396 meV/atom
**E**: -4.270 eV/atom
**V**: 76.5 Å³/cell

a = 4.245 Å, b = 4.245 Å, c = 4.245 Å
α = 90.00°, β = 90.00°, γ = 90.00°
Space group Pm-3m (No. 221)
Asymmetric unit:
Tl: 0.000 0.000 0.000
Pd: 0.500 0.500 0.500
F: 0.000 0.500 0.500

=====

(13)
## CdAsPtBr2 (GGA-PBEsol)

Data for a relaxed CdAsPtBr2 crystal.

Output
**Raw formation energy**: 918 meV/atom
**E**: -2.483 eV/atom
**V**: 137.6 Å³/cell

a = 5.098 Å, b = 5.098 Å, c = 5.294 Å
α = 90.00°, β = 90.00°, γ = 90.00°
Space group P4/mmm (No. 123)
Asymmetric unit:
Cd: 0.000 0.000 0.000
As: 0.500 0.500 0.500
Pt: 0.000 0.000 0.500
Br: 0.000 0.500 0.000

=====

(14)
## CaTeOF2 (GGA-PBEsol)

Data for a relaxed CaTeOF2 crystal.

Output
**Raw formation energy**: -1473 meV/atom
**E**: -4.425 eV/atom
**V**: 94.6 Å³/cell

a = 4.780 Å, b = 4.780 Å, c = 4.141 Å
α = 90.00°, β = 90.00°, γ = 90.00°
Space group P4/mmm (No. 123)
Asymmetric unit:
Ca: 0.000 0.000 0.000
Te: 0.500 0.500 0.500
O: 0.500 0.500 0.000
F: 0.000 0.500 0.500

=====

(15)
## LiCa2Pd2 (GGA-PBEsol)

Data for a relaxed LiCa2Pd2 crystal.

Output
**E**: -4.116 eV/atom
**V**: 219.1 Å³/cell

a = 7.395 Å, b = 7.395 Å, c = 4.006 Å
α = 90.00°, β = 90.00°, γ = 90.00°
Space group P4/mbm (No. 127)
Asymmetric unit:
Li: 0.000 0.000 0.000
Ca: 0.168 0.332 0.500
Pd: 0.130 0.630 0.000

=====

(16)
## FeCuGe2P (GGA-PBEsol)

Data for a relaxed FeCuGe2P crystal.

Output
**E**: -4.979 eV/atom
**V**: 90.5 Å³/cell

a = 4.702 Å, b = 4.702 Å, c = 4.092 Å
α = 90.00°, β = 90.00°, γ = 90.00°
Space group P4/mmm (No. 123)
Asymmetric unit:
Fe: 0.000 0.000 0.000
Cu: 0.500 0.500 0.000
Ge: 0.000 0.500 0.500
P: 0.000 0.000 0.500

=====

(17)
## Cs2TlGaI6 (GGA-PBEsol)

Data for a relaxed Cs2TlGaI6 crystal.

Output
**Raw formation energy**: -879 meV/atom
**E**: -2.725 eV/atom
**V**: 1711.7 Å³/cell

a = 11.962 Å, b = 11.962 Å, c = 11.962 Å
α = 90.00°, β = 90.00°, γ = 90.00°
Space group Fm-3m (No. 225)
Asymmetric unit:
Cs: 0.250 0.250 0.250
Tl: 0.000 0.000 0.000
Ga: 0.000 0.000 0.500
I: 0.000 0.000 0.268

=====

(18)
## KZnNi2 (GGA-PBEsol)

Data for a relaxed KZnNi2 crystal.

Output
**E**: -3.376 eV/atom
**V**: 67.4 Å³/cell

a = 2.972 Å, b = 2.972 Å, c = 7.625 Å
α = 90.00°, β = 90.00°, γ = 90.00°
Space group P4mm (No. 99)
Asymmetric unit:
K: 0.000 0.000 0.000
Zn: 0.500 0.500 0.639
Ni: 0.000 0.000 0.466
Ni: 0.500 0.500 0.316

=====

(19)
## Rh3W (GGA-PBEsol)

Data for a relaxed Rh3W crystal.

Output
**E**: -9.796 eV/atom
**V**: 55.5 Å³/cell

a = 3.815 Å, b = 3.815 Å, c = 3.815 Å
α = 90.00°, β = 90.00°, γ = 90.00°
Space group Pm-3m (No. 221)
Asymmetric unit:
Rh: 0.000 0.000 0.500
W: 0.500 0.500 0.500

=====

(20)
## MoIrRh2 (GGA-PBEsol)

Data for a relaxed MoIrRh2 crystal.

Output
**E**: -9.706 eV/atom
**V**: 55.7 Å³/cell

a = 3.806 Å, b = 3.806 Å, c = 3.846 Å
α = 90.00°, β = 90.00°, γ = 90.00°
Space group P4/mmm (No. 123)
Asymmetric unit:
Mo: 0.000 0.000 0.000
Ir: 0.500 0.500 0.000
Rh: 0.000 0.500 0.500